Computed, not measured: crystalline CeDyGaCo at its relaxed geometry at the PBE-GGA level of DFT.

a = 7.0071 Å, b = 7.0071 Å, c = 7.0071 Å
α = 90.00°, β = 90.00°, γ = 90.00°
Last column: nearest neighbours and their distance in Å.
Space group F-43m (No. 216)
One atom of each set of equivalent atoms:
Ce1 0.0000 0.0000 0.0000 x4  4 Co 3.03, 4 Ga 3.03
Dy1 0.0000 0.0000 0.5000 x4  4 Ga 3.03, 4 Co 3.03
Ga1 0.2500 0.2500 0.2500 x4  4 Dy 3.03, 4 Ce 3.03
Co1 0.2500 0.2500 0.7500 x4  4 Dy 3.03, 4 Ce 3.03

## Properties
calculated formation energy: -0.253 eV/atom
total DFT energy (no corrections): -5.421 eV per atom
M_tot: 0.53 μB/f.u.

=====

Computed, not measured: crystalline KLiGe2B at its relaxed geometry at the PBE-GGA level of DFT.

a = 4.5518 Å, b = 4.5518 Å, c = 4.8348 Å
α = 90.00°, β = 90.00°, γ = 90.00°
Last column: nearest neighbours and their distance in Å.
Space group P4/mmm (No. 123)
One atom of each set of equivalent atoms:
K1 0.0000 0.0000 0.0000 x1  4 Li 3.22, 8 Ge 3.32
Li1 0.5000 0.5000 0.0000 x1  2 B 2.42
Ge1 0.0000 0.5000 0.5000 x2  2 B 2.28
B1 0.5000 0.5000 0.5000 x1  4 Ge 2.28, 2 Li 2.42

## Properties
calculated formation energy: 0.432 eV/atom
total DFT energy (no corrections): -3.352 eV per atom
M_tot: 0.00 μB/f.u.

=====

Computed, not measured: crystalline BaZn2Rh2 at its relaxed geometry at the PBE-GGA level of DFT.

a = 4.4195 Å, b = 4.4195 Å, c = 10.5549 Å
α = 90.00°, β = 90.00°, γ = 90.00°
Last column: nearest neighbours and their distance in Å.
Space group I4/mmm (No. 139)
One atom of each set of equivalent atoms:
Ba1 0.0000 0.0000 0.0000 x2  8 Rh 3.38, 8 Zn 3.44
Zn1 0.0000 0.5000 0.2500 x4  4 Rh 2.59
Rh1 0.0000 0.0000 0.3788 x4  1 Rh 2.56, 4 Zn 2.59

## Properties
calculated formation energy: -0.269 eV/atom
total DFT energy (no corrections): -4.104 eV per atom
M_tot: 0.00 μB/f.u.